*A*
# PBE GeTe2F, optimized geometry
data_GeTe2F
_chemical_formula_sum 'Ge4 Te8 F4'
_cell_length_a 7.590
_cell_length_b 7.590
_cell_length_c 6.391
_cell_angle_alpha 90.00
_cell_angle_beta 90.00
_cell_angle_gamma 90.00
_symmetry_space_group_name_H-M 'P 1'
_symmetry_Int_Tables_number 1
_symmetry_space_group_name_Hall 'P 1'
loop_
_atom_site_label
_atom_site_fract_x
_atom_site_fract_y
_atom_site_fract_z
_atom_site_occupancy
Ge1 0.000 0.000 0.000 1
Ge2 0.000 0.500 0.250 1
Ge3 0.500 0.000 0.750 1
Ge4 0.500 0.500 0.500 1
Te1 0.245 0.250 0.125 1
Te2 0.250 0.745 0.375 1
Te3 0.250 0.755 0.875 1
Te4 0.255 0.250 0.625 1
Te5 0.745 0.750 0.625 1
Te6 0.750 0.245 0.875 1
Te7 0.750 0.255 0.375 1
Te8 0.755 0.750 0.125 1
F1 0.000 0.000 0.500 1
F2 0.000 0.500 0.750 1
F3 0.500 0.000 0.250 1
F4 0.500 0.500 0.000 1
# ρ in g cm⁻³: 6.257
# Symmetry: I-42d (122)


*B*
# PBE GeTe2F, optimized geometry
data_GeTe2F
_chemical_formula_sum 'Ge4 Te8 F4'
_cell_length_a 6.951
_cell_length_b 6.951
_cell_length_c 6.951
_cell_angle_alpha 90.00
_cell_angle_beta 90.00
_cell_angle_gamma 90.00
_symmetry_space_group_name_H-M 'P 1'
_symmetry_Int_Tables_number 1
_symmetry_space_group_name_Hall 'P 1'
loop_
_atom_site_label
_atom_site_fract_x
_atom_site_fract_y
_atom_site_fract_z
_atom_site_occupancy
Ge1 0.000 0.000 0.000 1
Ge2 0.000 0.500 0.500 1
Ge3 0.500 0.000 0.500 1
Ge4 0.500 0.500 0.000 1
Te1 0.250 0.250 0.250 1
Te2 0.250 0.250 0.750 1
Te3 0.250 0.750 0.250 1
Te4 0.250 0.750 0.750 1
Te5 0.750 0.250 0.250 1
Te6 0.750 0.250 0.750 1
Te7 0.750 0.750 0.250 1
Te8 0.750 0.750 0.750 1
F1 0.000 0.000 0.500 1
F2 0.000 0.500 0.000 1
F3 0.500 0.000 0.000 1
F4 0.500 0.500 0.500 1
# ρ in g cm⁻³: 6.861
# Symmetry: Fm-3m (225)


*C*
# PBE GeTe2F, optimized geometry
data_GeTe2F
_chemical_formula_sum 'Ge3 Te6 F3'
_cell_length_a 3.186
_cell_length_b 3.186
_cell_length_c 29.488
_cell_angle_alpha 90.00
_cell_angle_beta 90.00
_cell_angle_gamma 120.00
_symmetry_space_group_name_H-M 'P 1'
_symmetry_Int_Tables_number 1
_symmetry_space_group_name_Hall 'P 1'
loop_
_atom_site_label
_atom_site_fract_x
_atom_site_fract_y
_atom_site_fract_z
_atom_site_occupancy
Ge1 0.000 0.000 0.000 1
Ge2 0.333 0.667 0.667 1
Ge3 0.667 0.333 0.333 1
Te1 0.000 0.000 0.095 1
Te2 0.000 0.000 0.905 1
Te3 0.333 0.667 0.572 1
Te4 0.333 0.667 0.762 1
Te5 0.667 0.333 0.238 1
Te6 0.667 0.333 0.428 1
F1 0.000 0.000 0.500 1
F2 0.333 0.667 0.167 1
F3 0.667 0.333 0.833 1
# ρ in g cm⁻³: 6.667
# Symmetry: R-3m (166)


What should be chosen as the most stable of them? Choose *A*.